Here is an optimized crystal structure of Te2IrAu from Alexandria via LeMat-Bulk. Energies are from PBE.

```
4
Lattice="0.4072 -3.0961 7.5383 3.8431 -0.9699 7.1322 0.3841 0.9260 8.0977" Properties=species:S:1:pos:R:3 pbc="T T T"
Te 4.1172 -2.7895 20.2273
Te 0.5172 -0.3504 2.5410
Ir 2.3172 -1.5700 11.3841
Au 0.0000 0.0000 0.0000
```

Properties
The calculation puts the volume at 27.9 A^3/atom. The space group is R-3m. Its size of the total moment is 0.00 μB per cell. The formation energy (no corrections) comes out at -0.6 eV/f.u. As for the total energy: -4.761 eV per atom.